This record from Alexandria describes a geometry-optimized NaAc2YS4 structure. The functional is GGA-PBE.

Properties
Energy relative to the elements, uncorrected (meV/atom): -1881.3
Total moment (μB per atom): 0.000
E_tot (eV/atom): -5.945
Mass density (kg/m3): 5672

Cell and atoms, written as CIF:
```
data_NaAc2YS4
_cell_length_a 7.1331
_cell_length_b 4.1659
_cell_length_c 7.2558
_cell_angle_alpha 90.00
_cell_angle_beta 109.50
_cell_angle_gamma 90.00
_space_group_name_H-M_alt 'P 1 2/m 1'
_space_group_IT_number 10
loop_
_space_group_symop_operation_xyz
'x,y,z'
'-x,-y,-z'
'-x,y,-z'
'x,-y,z'
loop_
_atom_site_label
_atom_site_fract_x
_atom_site_fract_y
_atom_site_fract_z
Na1 0.0000 0.0000 0.0000
Ac1 0.5000 0.0000 0.5000
Ac2 0.5000 0.5000 0.0000
Y1 0.0000 0.5000 0.5000
S1 0.2258 0.0000 0.7378
S2 0.2326 0.5000 0.2519
```



This record from Alexandria describes a geometry-optimized Na3AcY2S6 structure. The functional is GGA-PBE.

Properties
Energy relative to the elements, uncorrected (meV/atom): -1825.6
Total moment (μB per atom): 0.000
E_tot (eV/atom): -5.639
Mass density (kg/m3): 3743

Cell and atoms, written as CIF:
```
data_Na3AcY2S6
_cell_length_a 7.1339
_cell_length_b 12.3656
_cell_length_c 7.1120
_cell_angle_alpha 90.00
_cell_angle_beta 109.59
_cell_angle_gamma 90.00
_space_group_name_H-M_alt 'C 1 2/m 1'
_space_group_IT_number 12
loop_
_space_group_symop_operation_xyz
'x,y,z'
'-x,-y,-z'
'-x,y,-z'
'x,-y,z'
'x+1/2,y+1/2,z'
'-x+1/2,-y+1/2,-z'
'-x+1/2,y+1/2,-z'
'x+1/2,-y+1/2,z'
loop_
_atom_site_label
_atom_site_fract_x
_atom_site_fract_y
_atom_site_fract_z
Na1 0.0000 0.0000 0.0000
Na2 0.0000 0.3323 0.0000
Ac1 0.0000 0.5000 0.5000
Y1 0.0000 0.1668 0.5000
S1 0.2250 0.0000 0.7325
S2 0.2470 0.1762 0.2704
```



This record from Alexandria describes a geometry-optimized Na2AcYS4 structure. The functional is GGA-PBE.

Properties
Energy relative to the elements, uncorrected (meV/atom): -1809.2
Total moment (μB per atom): 0.000
E_tot (eV/atom): -5.524
Mass density (kg/m3): 4003

Cell and atoms, written as CIF:
```
data_Na2AcYS4
_cell_length_a 7.1280
_cell_length_b 4.1773
_cell_length_c 7.2610
_cell_angle_alpha 90.00
_cell_angle_beta 109.88
_cell_angle_gamma 90.00
_space_group_name_H-M_alt 'P 1 2/m 1'
_space_group_IT_number 10
loop_
_space_group_symop_operation_xyz
'x,y,z'
'-x,-y,-z'
'-x,y,-z'
'x,-y,z'
loop_
_atom_site_label
_atom_site_fract_x
_atom_site_fract_y
_atom_site_fract_z
Na1 0.0000 0.0000 0.0000
Na2 0.0000 0.5000 0.5000
Ac1 0.5000 0.0000 0.5000
Y1 0.5000 0.5000 0.0000
S1 0.2633 0.5000 0.2351
S2 0.2707 0.0000 0.7721
```